! TaFeCF2 meta-GGA SCAN PBEsol geometry; values from VASP
&SYSTEM
  ibrav = 0, nat = 5, ntyp = 4
/
ATOMIC_SPECIES
C 12.01 C.upf
F 19.00 F.upf
Ta 180.95 Ta.upf
Fe 55.84 Fe.upf
ATOMIC_POSITIONS crystal
C 0.000 0.000 0.500
F 0.500 0.000 0.000
Ta 0.000 0.000 0.000
F 0.000 0.500 0.000
Fe 0.500 0.500 0.500
CELL_PARAMETERS angstrom
-0.388 3.230 -2.254
-3.278 0.990 1.983
2.355 2.224 2.781
! formation energy from raw total energies	-0.470	eV/atom


! Os5W meta-GGA SCAN PBEsol geometry; values from VASP
&SYSTEM
  ibrav = 0, nat = 6, ntyp = 2
/
ATOMIC_SPECIES
Os 190.23 Os.upf
W 183.84 W.upf
ATOMIC_POSITIONS crystal
Os 0.000 0.339 0.339
W 0.500 0.000 0.000
Os 0.500 0.667 0.333
Os 0.000 0.000 0.661
Os 0.500 0.333 0.667
Os 0.000 0.661 0.000
CELL_PARAMETERS angstrom
-2.923 1.033 -3.029
-3.434 -1.989 2.635
1.057 4.612 0.553
! distance to the lowest polymorph of the same formula	0.00	eV per formula unit
! energy relative to the elements	-0.0378	eV/atom


! Ag3GeI meta-GGA SCAN PBEsol geometry; values from VASP
&SYSTEM
  ibrav = 0, nat = 5, ntyp = 3
/
ATOMIC_SPECIES
I 126.90 I.upf
Ag 107.87 Ag.upf
Ge 72.64 Ge.upf
ATOMIC_POSITIONS crystal
I 0.000 0.000 0.000
Ag 0.000 0.500 0.000
Ge 0.500 0.500 0.500
Ag 0.000 0.000 0.500
Ag 0.500 0.000 0.000
CELL_PARAMETERS angstrom
5.243 0.000 0.000
0.000 5.243 0.000
0.000 0.000 5.243
! formation energy from raw total energies	1.144	eV/atom


! Ta2AlPt meta-GGA SCAN PBEsol geometry; values from VASP
&SYSTEM
  ibrav = 0, nat = 4, ntyp = 3
/
ATOMIC_SPECIES
Ta 180.95 Ta.upf
Pt 195.08 Pt.upf
Al 26.98 Al.upf
ATOMIC_POSITIONS crystal
Ta 0.500 0.500 0.731
Pt 0.500 0.500 0.270
Ta 0.000 0.000 0.017
Al 0.000 0.000 0.482
CELL_PARAMETERS angstrom
-1.889 -0.861 1.921
1.203 -2.560 -0.006
4.928 2.302 5.877
! energy relative to the elements	-0.5971	eV/atom


! Zr2Ag meta-GGA SCAN PBEsol geometry; values from VASP
&SYSTEM
  ibrav = 0, nat = 6, ntyp = 2
/
ATOMIC_SPECIES
Zr 91.22 Zr.upf
Ag 107.87 Ag.upf
ATOMIC_POSITIONS crystal
Zr 0.341 0.682 0.924
Ag 0.312 0.624 0.411
Zr 0.010 0.019 0.724
Zr 0.990 0.981 0.276
Zr 0.659 0.318 0.076
Ag 0.688 0.376 0.589
CELL_PARAMETERS angstrom
3.126 0.000 0.000
-1.563 5.197 -0.357
0.000 -3.088 7.732
! energy relative to the elements	-0.0370	eV/atom


! TaAl3Fe meta-GGA SCAN PBEsol geometry; values from VASP
&SYSTEM
  ibrav = 0, nat = 5, ntyp = 3
/
ATOMIC_SPECIES
Al 26.98 Al.upf
Fe 55.84 Fe.upf
Ta 180.95 Ta.upf
ATOMIC_POSITIONS crystal
Al 0.500 0.000 0.000
Al 0.000 0.000 0.500
Fe 0.000 0.000 0.000
Ta 0.500 0.500 0.500
Al 0.000 0.500 0.000
CELL_PARAMETERS angstrom
-3.360 -2.051 -1.798
2.691 -2.956 -1.658
-0.442 -2.405 3.570
! energy relative to the elements	0.4674	eV/atom


! Li3YAg meta-GGA SCAN PBEsol geometry; values from VASP
&SYSTEM
  ibrav = 0, nat = 5, ntyp = 3
/
ATOMIC_SPECIES
Li 6.94 Li.upf
Ag 107.87 Ag.upf
Y 88.91 Y.upf
ATOMIC_POSITIONS crystal
Li 0.000 0.000 0.500
Li 0.500 0.000 0.000
Ag 0.000 0.000 0.000
Y 0.500 0.500 0.500
Li 0.000 0.500 0.000
CELL_PARAMETERS angstrom
4.767 0.000 0.000
0.000 4.767 0.000
0.000 0.000 4.767
! energy relative to the elements	0.1412	eV/atom


! AlReHg meta-GGA SCAN PBEsol geometry; values from VASP
&SYSTEM
  ibrav = 0, nat = 3, ntyp = 3
/
ATOMIC_SPECIES
Al 26.98 Al.upf
Re 186.21 Re.upf
Hg 200.59 Hg.upf
ATOMIC_POSITIONS crystal
Al 0.974 0.974 0.948
Re 0.358 0.358 0.717
Hg 0.668 0.668 0.335
CELL_PARAMETERS angstrom
-1.838 -0.099 -2.033
1.384 -3.493 -1.082
-2.821 -0.298 4.416
! energy relative to the elements	0.4416	eV/atom


! Li3NdAs2 meta-GGA SCAN PBEsol geometry; values from VASP
&SYSTEM
  ibrav = 0, nat = 6, ntyp = 3
/
ATOMIC_SPECIES
Nd 144.24 Nd.upf
Li 6.94 Li.upf
As 74.92 As.upf
ATOMIC_POSITIONS crystal
Nd 0.000 0.000 0.000
Li 0.000 0.000 0.500
As 0.333 0.667 0.257
Li 0.667 0.333 0.355
Li 0.333 0.667 0.645
As 0.667 0.333 0.743
CELL_PARAMETERS angstrom
-0.721 3.349 -2.531
-2.312 -0.533 3.537
4.579 3.666 3.545
! energy relative to the elements	-1.1155	eV/atom


! KMn meta-GGA SCAN PBEsol geometry; values from VASP
&SYSTEM
  ibrav = 0, nat = 4, ntyp = 2
/
ATOMIC_SPECIES
K 39.10 K.upf
Mn 54.94 Mn.upf
ATOMIC_POSITIONS crystal
K 0.750 0.846 0.308
Mn 0.750 0.542 0.916
K 0.250 0.154 0.692
Mn 0.250 0.458 0.084
CELL_PARAMETERS angstrom
-0.023 4.552 0.977
-4.561 0.393 -1.940
-4.815 -1.040 4.737
! distance to the lowest polymorph of the same formula	0.39	eV per formula unit
! energy relative to the elements	0.7001	eV/atom


! Cu2AsPt meta-GGA SCAN PBEsol geometry; values from VASP
&SYSTEM
  ibrav = 0, nat = 4, ntyp = 3
/
ATOMIC_SPECIES
As 74.92 As.upf
Pt 195.08 Pt.upf
Cu 63.55 Cu.upf
ATOMIC_POSITIONS crystal
As 0.000 0.000 0.000
Pt 0.500 0.500 0.500
Cu 0.252 0.252 0.245
Cu 0.748 0.748 0.755
CELL_PARAMETERS angstrom
2.819 0.000 0.000
1.409 2.441 0.000
1.409 0.814 8.050
! energy relative to the elements	0.0307	eV/atom


! ReOsPt2 meta-GGA SCAN PBEsol geometry; values from VASP
&SYSTEM
  ibrav = 0, nat = 4, ntyp = 3
/
ATOMIC_SPECIES
Pt 195.08 Pt.upf
Os 190.23 Os.upf
Re 186.21 Re.upf
ATOMIC_POSITIONS crystal
Pt 0.002 0.002 0.995
Pt 0.248 0.248 0.257
Os 0.753 0.753 0.741
Re 0.498 0.498 0.507
CELL_PARAMETERS angstrom
2.735 0.000 0.000
1.367 2.369 0.000
1.367 0.790 9.042
! distance to the lowest polymorph of the same formula	0.10	eV per formula unit
! energy relative to the elements	-0.0384	eV/atom


| no. | uncorrected energy (eV per atom) | magnetization (μB per formula unit) |
| --- | --- | --- |
| 1 | -20.85 | 3.3 |
| 2 | -71.55 | 0.0 |
| 3 | -28.84 | 0.0 |
| 4 | -53.37 | 0.0 |
| 5 | -30.96 | 0.0 |
| 6 | -21.13 | 2.8 |
| 7 | -13.13 | 0.8 |
| 8 | -48.56 | 0.0 |
| 9 | -16.30 | 0.0 |
| 10 | -12.59 | 4.6 |
| 11 | -30.16 | 0.0 |
| 12 | -70.88 | 0.0 |